Record 1
Here is a crystal of LiTcOs2 relaxed with PBEsol from the Alexandria database. Energies are from SCAN.

Summary:
* space-group type: C2/m, No. 12
* N(E_F): 3.368 states/eV/f.u.
* energy relative to the elements: 0.305 eV per atom

a = 5.3009 Å, b = 8.4825 Å, c = 2.6297 Å
α = 90.00°, β = 113.68°, γ = 90.00°
Last column: nearest neighbours and their distance in Å.
Fractional coordinates of all 8 atoms:
Li 0.0000 0.0000 0.0000  4 Os 2.57, 2 Li 2.63, 2 Tc 2.65
Li 0.5000 0.5000 0.0000  4 Os 2.57, 2 Li 2.63, 2 Tc 2.65
Tc 0.0000 0.5000 0.0000  4 Os 2.57, 2 Tc 2.63, 2 Li 2.65
Tc 0.5000 0.0000 0.0000  4 Os 2.57, 2 Tc 2.63, 2 Li 2.65
Os 0.2500 0.2500 0.5000  2 Li 2.57, 2 Tc 2.57, 4 Os 2.63-2.65
Os 0.2500 0.7500 0.5000  2 Tc 2.57, 2 Li 2.57, 4 Os 2.63-2.65
Os 0.7500 0.2500 0.5000  2 Li 2.57, 2 Tc 2.57, 4 Os 2.63-2.65
Os 0.7500 0.7500 0.5000  2 Li 2.57, 2 Tc 2.57, 4 Os 2.63-2.65

***

Record 2
Here is a crystal of LiTe2Os relaxed with PBEsol from the Alexandria database. Energies are from SCAN.

Summary:
* space-group type: P4/mmm, No. 123
* formation energy from raw total energies: 0.287 eV per atom
* N(E_F): 3.080 states/eV/f.u.

a = 4.7651 Å, b = 4.7651 Å, c = 3.2842 Å
α = 90.00°, β = 90.00°, γ = 90.00°
Last column: nearest neighbours and their distance in Å.
Fractional coordinates of all 4 atoms:
Li 0.0000 0.0000 0.0000  8 Te 2.89
Te 0.0000 0.5000 0.5000  4 Li 2.89, 4 Os 2.89
Te 0.5000 0.0000 0.5000  4 Li 2.89, 4 Os 2.89
Os 0.5000 0.5000 0.0000  8 Te 2.89

***

Record 3
Here is a crystal of Li2TeOs relaxed with PBEsol from the Alexandria database. Energies are from SCAN.

Summary:
* space-group type: I-4m2, No. 119
* formation energy from raw total energies: -0.047 eV per atom
* N(E_F): 2.115 states/eV/f.u.

a = 4.1121 Å, b = 4.1121 Å, c = 6.9634 Å
α = 90.00°, β = 90.00°, γ = 90.00°
Last column: nearest neighbours and their distance in Å.
Fractional coordinates of all 8 atoms:
Li 0.0000 0.0000 0.0000  4 Li 2.69, 4 Os 2.69, 4 Te 2.91
Li 0.0000 0.5000 0.2500  4 Li 2.69, 4 Te 2.69, 4 Os 2.91
Li 0.5000 0.0000 0.7500  4 Li 2.69, 4 Te 2.69, 4 Os 2.91
Li 0.5000 0.5000 0.5000  4 Li 2.69, 4 Os 2.69, 4 Te 2.91
Te 0.0000 0.0000 0.5000  8 Li 2.69-2.91, 4 Os 2.69
Te 0.5000 0.5000 0.0000  8 Li 2.69-2.91, 4 Os 2.69
Os 0.0000 0.5000 0.7500  8 Li 2.69-2.91, 4 Te 2.69
Os 0.5000 0.0000 0.2500  8 Li 2.69-2.91, 4 Te 2.69

***

Record 4
Here is a crystal of LiTe2Os relaxed with PBEsol from the Alexandria database. Energies are from SCAN.

Summary:
* space-group type: P4/mmm, No. 123
* formation energy from raw total energies: 0.258 eV per atom
* N(E_F): 2.602 states/eV/f.u.

a = 3.2673 Å, b = 3.2673 Å, c = 7.3083 Å
α = 90.00°, β = 90.00°, γ = 90.00°
Last column: nearest neighbours and their distance in Å.
Fractional coordinates of all 4 atoms:
Li 0.0000 0.0000 0.0000  8 Te 3.05, 4 Li 3.27
Te 0.5000 0.5000 0.2729  4 Os 2.84, 4 Li 3.05
Te 0.5000 0.5000 0.7271  4 Os 2.84, 4 Li 3.05
Os 0.0000 0.0000 0.5000  8 Te 2.84

***

Record 5
Here is a crystal of LiTe2Os relaxed with PBEsol from the Alexandria database. Energies are from SCAN.

Summary:
* space-group type: P4mm, No. 99
* formation energy from raw total energies: -0.014 eV per atom
* N(E_F): 1.091 states/eV/f.u.

a = 3.2631 Å, b = 3.2631 Å, c = 7.4629 Å
α = 90.00°, β = 90.00°, γ = 90.00°
Last column: nearest neighbours and their distance in Å.
Fractional coordinates of all 4 atoms:
Li 0.0000 0.0000 0.0000  5 Te 2.70-2.83, 4 Os 2.71
Te 0.0000 0.0000 0.3797  4 Os 2.71, 1 Li 2.83
Te 0.5000 0.5000 0.8132  4 Li 2.70, 1 Os 2.81
Os 0.5000 0.5000 0.1895  4 Li 2.71, 5 Te 2.71-2.81

***

Record 6
Here is a crystal of Li2TeOs relaxed with PBEsol from the Alexandria database. Energies are from SCAN.

Summary:
* space-group type: Pmm2, No. 25
* formation energy from raw total energies: 0.082 eV per atom
* N(E_F): 1.400 states/eV/f.u.

a = 3.1690 Å, b = 3.6158 Å, c = 5.6683 Å
α = 90.00°, β = 90.00°, γ = 90.00°
Last column: nearest neighbours and their distance in Å.
Fractional coordinates of all 4 atoms:
Li 0.0000 0.0000 0.0000  4 Li 2.74, 2 Os 2.79-2.88, 4 Te 2.94
Li 0.5000 0.5000 0.2304  2 Te 2.68-2.99, 4 Li 2.74, 4 Os 2.82
Te 0.5000 0.5000 0.7028  6 Li 2.68-2.99, 4 Os 2.68
Os 0.0000 0.0000 0.4919  4 Te 2.68, 6 Li 2.79-2.88

***

Record 7
Here is a crystal of Li2TeOs relaxed with PBEsol from the Alexandria database. Energies are from SCAN.

Summary:
* space-group type: Cmmm, No. 65
* formation energy from raw total energies: 0.156 eV per atom
* N(E_F): 2.708 states/eV/f.u.

a = 5.3171 Å, b = 8.6801 Å, c = 2.7870 Å
α = 90.00°, β = 90.00°, γ = 90.00°
Last column: nearest neighbours and their distance in Å.
Fractional coordinates of all 8 atoms:
Li 0.2500 0.2500 0.0000  4 Li 2.66-2.79, 4 Os 2.90, 4 Te 2.90
Li 0.2500 0.7500 0.0000  4 Li 2.66-2.79, 4 Os 2.90, 4 Te 2.90
Li 0.7500 0.2500 0.0000  4 Li 2.66-2.79, 4 Os 2.90, 4 Te 2.90
Li 0.7500 0.7500 0.0000  4 Li 2.66-2.79, 4 Os 2.90, 4 Te 2.90
Te 0.0000 0.0000 0.5000  2 Os 2.66, 2 Te 2.79, 8 Li 2.90
Te 0.5000 0.5000 0.5000  2 Os 2.66, 2 Te 2.79, 8 Li 2.90
Os 0.0000 0.5000 0.5000  2 Te 2.66, 2 Os 2.79, 8 Li 2.90
Os 0.5000 0.0000 0.5000  2 Te 2.66, 2 Os 2.79, 8 Li 2.90

***

Record 8
Here is a crystal of LiTe2Os relaxed with PBEsol from the Alexandria database. Energies are from SCAN.

Summary:
* space-group type: R-3m, No. 166
* formation energy from raw total energies: 0.451 eV per atom
* N(E_F): 2.176 states/eV/f.u.

a = 3.1605 Å, b = 3.1605 Å, c = 27.7351 Å
α = 90.00°, β = 90.00°, γ = 120.00°
Last column: nearest neighbours and their distance in Å.
Fractional coordinates of all 12 atoms:
Li 0.0000 0.0000 0.0000  6 Te 2.79
Li 0.3333 0.6667 0.6667  6 Te 2.79
Li 0.6667 0.3333 0.3333  6 Te 2.79
Te 0.0000 0.0000 0.4093  1 Os 2.52, 3 Li 2.79
Te 0.0000 0.0000 0.5907  1 Os 2.52, 3 Li 2.79
Te 0.3333 0.6667 0.0759  1 Os 2.52, 3 Li 2.79
Te 0.3333 0.6667 0.2574  1 Os 2.52, 3 Li 2.79
Te 0.6667 0.3333 0.7426  1 Os 2.52, 3 Li 2.79
Te 0.6667 0.3333 0.9241  1 Os 2.52, 3 Li 2.79
Os 0.0000 0.0000 0.5000  2 Te 2.52
Os 0.3333 0.6667 0.1667  2 Te 2.52
Os 0.6667 0.3333 0.8333  2 Te 2.52

***

Here are the calculated electronic total energy numbers, same order: -44.997 -36.906 -28.524 -36.935 -37.207 -28.396 -28.322 -36.742 (eV/atom).